Record 1
First-principles (GGA-PBE) data for a relaxed structure of Tb2InS, as listed in the Alexandria database.

## Properties
The total magnetization comes out at 0.00 μB/f.u. The uncorrected formation energy is -1.18 eV per atom. Its uncorrected energy is -20.8 eV per formula unit.

Unit cell a=3.8050 b=3.8050 c=24.5344 alpha=90.00 beta=90.00 gamma=120.00
Space group R3m (No. 160, hexagonal axes)
Unique sites:
1 Tb 0.0000 0.0000 0.0000
2 Tb 0.0000 0.0000 0.2009
3 In 0.0000 0.0000 0.7673
4 S 0.0000 0.0000 0.5996

Record 2
First-principles (GGA-PBE) data for a relaxed structure of KLiMgS2, as listed in the Alexandria database.

## Properties
The total magnetization comes out at 0.00 μB/f.u. The uncorrected formation energy is -1.35 eV per atom. Its uncorrected energy is -19.6 eV per formula unit.

Unit cell a=13.1896 b=4.1402 c=8.9563 alpha=90.00 beta=98.97 gamma=90.00
Space group C2/m (No. 12)
Unique sites:
1 K 0.1624 0.0000 0.1574
2 Li 0.1856 0.0000 0.5568
3 Mg 0.0556 0.5000 0.6741
4 S 0.1229 0.0000 0.8020
5 S 0.1279 0.5000 0.4275